No. 1
This record from Alexandria via LeMat-Bulk describes an optimized crystal structure of La5Pr8Tl. The functional is PBE-GGA.

For the total moment, the calculation gives 0.000 μB per cell. The calculation puts the formation energy from the elements at 111 kJ/mol of formula units.

a = 15.9133 Å, b = 8.7409 Å, c = 8.7862 Å
α = 90.00°, β = 123.03°, γ = 90.00°
Space group C2 (No. 5)
Inequivalent atoms, fractional coordinates:
La (0.0000, 0.0000, 0.0000) x2
La (0.0473, 0.3444, 0.8269) x4
La (0.1012, 0.6801, 0.2374) x4
Pr (0.1244, 0.0513, 0.5603) x4
Pr (0.1731, 0.4542, 0.6278) x4
Pr (0.1843, 0.7497, 0.9402) x4
Pr (0.1913, 0.2754, 0.3030) x4
Tl (0.0000, 0.7217, 0.5000) x2


No. 2
This record from Alexandria via LeMat-Bulk describes an optimized crystal structure of La5Pr3Tl. The functional is PBE-GGA.

For the total moment, the calculation gives 0.000 μB per cell. The calculation puts the formation energy from the elements at 241 kJ/mol of formula units.

a = 9.9490 Å, b = 11.9070 Å, c = 11.8010 Å
α = 90.00°, β = 92.50°, γ = 90.00°
Space group C2/m (No. 12)
Inequivalent atoms, fractional coordinates:
La (0.0000, 0.2432, 0.0000) x4
La (0.0105, 0.0000, 0.2389) x4
La (0.1839, 0.0000, 0.9907) x4
La (0.2091, 0.2405, 0.6841) x8
Pr (0.0000, 0.5000, 0.0000) x2
Pr (0.0000, 0.5000, 0.5000) x2
Pr (0.1718, 0.0000, 0.4897) x4
Pr (0.1770, 0.5000, 0.7674) x4
Tl (0.1488, 0.5000, 0.2542) x4


No. 3
This record from Alexandria via LeMat-Bulk describes an optimized crystal structure of LaPr7Tl2. The functional is PBE-GGA.

For the total moment, the calculation gives 0.003 μB per cell. The calculation puts the formation energy from the elements at 295 kJ/mol of formula units.

a = 9.4344 Å, b = 16.0513 Å, c = 5.5982 Å
α = 90.00°, β = 90.00°, γ = 90.00°
Space group Cmmm (No. 65)
Inequivalent atoms, fractional coordinates:
La (0.0000, 0.0000, 0.0000) x2
Pr (0.0000, 0.2279, 0.0000) x4
Pr (0.0000, 0.5000, 0.5000) x2
Pr (0.1810, 0.1212, 0.5000) x8
Tl (0.0000, 0.3054, 0.5000) x4


No. 4
This record from Alexandria via LeMat-Bulk describes an optimized crystal structure of LaPr4Tl. The functional is PBE-GGA.

For the total moment, the calculation gives 0.000 μB per cell. The calculation puts the formation energy from the elements at -63 kJ/mol of formula units. The value obtained for the energy above the lowest structure with this stoichiometry is 0.0 kJ/mol of atoms.

a = 3.7429 Å, b = 3.7429 Å, c = 14.8255 Å
α = 90.00°, β = 90.00°, γ = 90.00°
Space group P4/mmm (No. 123)
Inequivalent atoms, fractional coordinates:
La (0.0000, 0.0000, 0.0000) x1
Pr (0.0000, 0.0000, 0.3548) x2
Pr (0.5000, 0.5000, 0.1784) x2
Tl (0.5000, 0.5000, 0.5000) x1


No. 5
This record from Alexandria via LeMat-Bulk describes an optimized crystal structure of La7PrTl3. The functional is PBE-GGA.

For the total moment, the calculation gives 0.020 μB per cell. The calculation puts the formation energy from the elements at -82 kJ/mol of formula units.

a = 11.8612 Å, b = 12.4221 Å, c = 6.1015 Å
α = 90.00°, β = 120.80°, γ = 90.00°
Space group C2/m (No. 12)
Inequivalent atoms, fractional coordinates:
La (0.0000, 0.0000, 0.0000) x2
La (0.1662, 0.5000, 0.1656) x4
La (0.1752, 0.2817, 0.6770) x8
Pr (0.0000, 0.0000, 0.5000) x2
Tl (0.0000, 0.2637, 0.0000) x4
Tl (0.0000, 0.5000, 0.5000) x2


No. 6
This record from Alexandria via LeMat-Bulk describes an optimized crystal structure of LaPr2Tl. The functional is PBE-GGA.

For the total moment, the calculation gives 0.000 μB per cell. The calculation puts the formation energy from the elements at -70 kJ/mol of formula units. The value obtained for the energy above the lowest structure with this stoichiometry is 3.8 kJ/mol of atoms.

a = 3.7871 Å, b = 3.7871 Å, c = 9.3242 Å
α = 90.00°, β = 90.00°, γ = 90.00°
Space group P4/mmm (No. 123)
Inequivalent atoms, fractional coordinates:
La (0.0000, 0.0000, 0.0000) x1
Pr (0.5000, 0.5000, 0.2742) x2
Tl (0.0000, 0.0000, 0.5000) x1